(1)
First-principles (PBE-GGA) data for CsAsS3 after structural relaxation, as listed in Alexandria.

V in Å³/cell: 174.5
Symmetry: No. 221
Formation energy from raw total energies in kJ/mol of atoms: 156.3

Cell: 5.589 5.589 5.589 Å, 90.00 90.00 90.00°
Each line ends with the local moment (μB).
Fractional coordinates of all 5 atoms:
1 S 0.000 0.000 0.500  -0.30
2 Cs 0.000 0.000 0.000  0.00
3 As 0.500 0.500 0.500  0.84
4 S 0.500 0.000 0.000  -0.30
5 S 0.000 0.500 0.000  -0.24

---

(2)
First-principles (PBE-GGA) data for Cs3AsS5 after structural relaxation, as listed in Alexandria.

V in Å³/cell: 660.7
Symmetry: No. 140
Formation energy from raw total energies in kJ/mol of atoms: -52.9

Cell: 9.536 9.536 9.912 Å, 118.75 118.75 90.00°
Each line ends with the local moment (μB).
Fractional coordinates of all 18 atoms:
1 Cs 0.171 0.329 0.000  0.01
2 S 0.207 0.969 0.676  0.15
3 S 0.793 0.031 0.324  0.15
4 S 0.000 0.000 0.000  0.61
5 As 0.250 0.750 0.500  -0.01
6 Cs 0.250 0.250 0.500  0.01
7 Cs 0.750 0.750 0.500  0.01
8 As 0.750 0.250 0.500  -0.01
9 Cs 0.829 0.671 0.000  0.01
10 Cs 0.329 0.829 0.000  0.01
11 S 0.469 0.707 0.676  0.15
12 S 0.707 0.207 0.676  0.15
13 S 0.293 0.793 0.324  0.15
14 S 0.969 0.469 0.676  0.15
15 S 0.031 0.531 0.324  0.15
16 S 0.500 0.500 0.000  0.61
17 Cs 0.671 0.171 0.000  0.01
18 S 0.531 0.293 0.324  0.15

---

(3)
First-principles (PBE-GGA) data for CsAs3S3 after structural relaxation, as listed in Alexandria.

V in Å³/cell: 528.5
Symmetry: No. 148
Formation energy from raw total energies in kJ/mol of atoms: -15.1

Cell: 8.320 8.320 10.040 Å, 65.52 65.52 60.00°
Fractional coordinates of all 14 atoms:
1 Cs 0.343 0.343 0.971
2 S 0.917 0.908 0.703
3 As 0.626 0.636 0.639
4 S 0.092 0.527 0.297
5 As 0.636 0.099 0.639
6 S 0.908 0.473 0.703
7 S 0.083 0.092 0.297
8 As 0.099 0.626 0.639
9 Cs 0.657 0.657 0.029
10 As 0.374 0.364 0.361
11 S 0.473 0.917 0.703
12 S 0.527 0.083 0.297
13 As 0.364 0.901 0.361
14 As 0.901 0.374 0.361

---

(4)
First-principles (PBE-GGA) data for CsAsS3 after structural relaxation, as listed in Alexandria.

V in Å³/cell: 367.1
Symmetry: No. 11
Formation energy from raw total energies in kJ/mol of atoms: -45.7

Cell: 7.163 7.233 7.489 Å, 90.00 90.00 108.87°
Fractional coordinates of all 10 atoms:
1 S 0.716 0.440 0.250
2 S 0.268 0.051 0.109
3 S 0.732 0.949 0.891
4 S 0.268 0.051 0.391
5 Cs 0.254 0.539 0.250
6 As 0.423 0.871 0.750
7 As 0.577 0.129 0.250
8 S 0.284 0.560 0.750
9 Cs 0.746 0.461 0.750
10 S 0.732 0.949 0.609

---

(5)
First-principles (PBE-GGA) data for Cs2AsS after structural relaxation, as listed in Alexandria.

Offset from the most stable computed form in meV per atom: 0
V in Å³/cell: 401.9
Symmetry: No. 122
Formation energy from raw total energies in kJ/mol of atoms: -37.3

Cell: 9.253 9.253 9.253 Å, 94.32 94.32 148.16°
Fractional coordinates of all 8 atoms:
1 Cs 0.125 0.450 0.825
2 Cs 0.550 0.375 0.675
3 As 0.000 0.000 0.000
4 Cs 0.625 0.300 0.175
5 S 0.500 0.500 0.000
6 S 0.750 0.250 0.500
7 Cs 0.700 0.875 0.325
8 As 0.250 0.750 0.500

---

(6)
First-principles (PBE-GGA) data for Cs4AsS4 after structural relaxation, as listed in Alexandria.

V in Å³/cell: 465.5
Symmetry: No. 121
Formation energy from raw total energies in kJ/mol of atoms: -77.8

Cell: 8.211 8.211 9.022 Å, 117.07 117.07 90.00°
Each line ends with the local moment (μB).
Fractional coordinates of all 9 atoms:
1 S 0.736 0.736 0.800  0.07
2 S 0.064 0.064 0.800  0.07
3 Cs 0.500 0.000 0.000  0.00
4 S 0.264 0.936 0.200  0.07
5 S 0.936 0.264 0.200  0.07
6 Cs 0.000 0.500 0.000  0.00
7 Cs 0.704 0.704 0.407  0.00
8 Cs 0.296 0.296 0.593  0.00
9 As 0.000 0.000 0.000  0.08

---

(7)
First-principles (PBE-GGA) data for Cs2As2S5 after structural relaxation, as listed in Alexandria.

V in Å³/cell: 293.9
Symmetry: No. 12
Formation energy from raw total energies in kJ/mol of atoms: -47.0

Cell: 5.180 7.221 8.681 Å, 103.22 90.00 111.02°
Fractional coordinates of all 9 atoms:
1 Cs 0.587 0.175 0.325
2 As 0.155 0.310 0.905
3 Cs 0.413 0.825 0.675
4 As 0.845 0.690 0.095
5 S 0.000 0.000 0.000
6 S 0.873 0.745 0.350
7 S 0.127 0.255 0.650
8 S 0.674 0.347 0.973
9 S 0.326 0.653 0.027

---

(8)
First-principles (PBE-GGA) data for Cs3AsS4 after structural relaxation, as listed in Alexandria.

Offset from the most stable computed form in meV per atom: 0
V in Å³/cell: 1177.3
Symmetry: No. 62
Formation energy from raw total energies in kJ/mol of atoms: -87.5

Cell: 9.907 10.006 11.876 Å, 90.00 90.00 90.00°
Fractional coordinates of all 32 atoms:
1 As 0.227 0.518 0.250
2 As 0.273 0.018 0.750
3 S 0.790 0.262 0.750
4 As 0.727 0.982 0.250
5 S 0.976 0.572 0.750
6 S 0.710 0.762 0.250
7 S 0.834 0.043 0.403
8 S 0.334 0.457 0.097
9 As 0.773 0.482 0.750
10 Cs 0.042 0.295 0.543
11 Cs 0.958 0.705 0.043
12 S 0.476 0.928 0.750
13 Cs 0.349 0.586 0.750
14 S 0.024 0.428 0.250
15 Cs 0.151 0.086 0.250
16 Cs 0.651 0.414 0.250
17 Cs 0.458 0.795 0.457
18 S 0.290 0.238 0.750
19 Cs 0.042 0.295 0.957
20 S 0.524 0.072 0.250
21 S 0.666 0.543 0.903
22 S 0.210 0.738 0.250
23 Cs 0.458 0.795 0.043
24 S 0.166 0.957 0.903
25 Cs 0.542 0.205 0.957
26 S 0.334 0.457 0.403
27 Cs 0.542 0.205 0.543
28 Cs 0.958 0.705 0.457
29 S 0.834 0.043 0.097
30 Cs 0.849 0.914 0.750
31 S 0.166 0.957 0.597
32 S 0.666 0.543 0.597

---

(9)
First-principles (PBE-GGA) data for Cs2AsS4 after structural relaxation, as listed in Alexandria.

Offset from the most stable computed form in meV per atom: 0
V in Å³/cell: 579.4
Symmetry: No. 11
Formation energy from raw total energies in kJ/mol of atoms: -53.2

Cell: 6.249 7.323 12.719 Å, 95.43 90.00 90.00°
Fractional coordinates of all 14 atoms:
1 S 0.918 0.587 0.310
2 S 0.250 0.976 0.678
3 As 0.250 0.714 0.756
4 Cs 0.750 0.779 0.567
5 As 0.750 0.286 0.244
6 S 0.582 0.587 0.310
7 S 0.418 0.413 0.690
8 S 0.082 0.413 0.690
9 Cs 0.250 0.221 0.433
10 S 0.750 0.247 0.072
11 Cs 0.250 0.244 0.930
12 S 0.250 0.753 0.928
13 S 0.750 0.024 0.322
14 Cs 0.750 0.756 0.070

---

(10)
First-principles (PBE-GGA) data for CsAsS2 after structural relaxation, as listed in Alexandria.

V in Å³/cell: 141.4
Symmetry: No. 1
Formation energy from raw total energies in kJ/mol of atoms: -53.1

Cell: 4.471 4.515 7.889 Å, 115.89 98.36 90.12°
Fractional coordinates of all 4 atoms:
1 S 0.788 0.577 0.507
2 S 0.631 0.163 0.952
3 Cs 0.204 0.863 0.227
4 As 0.512 0.671 0.726

---

(11)
First-principles (PBE-GGA) data for Cs2AsS4 after structural relaxation, as listed in Alexandria.

Offset from the most stable computed form in meV per atom: 281
V in Å³/cell: 220.0
Symmetry: No. 139
Formation energy from raw total energies in kJ/mol of atoms: -26.1

Cell: 5.084 5.084 9.239 Å, 74.03 74.03 90.00°
Each line ends with the local moment (μB).
Fractional coordinates of all 7 atoms:
1 Cs 0.647 0.647 0.707  0.01
2 As 0.000 0.000 0.000  0.03
3 S 0.500 0.000 0.000  0.23
4 S 0.135 0.135 0.730  0.23
5 Cs 0.353 0.353 0.293  0.01
6 S 0.865 0.865 0.270  0.23
7 S 0.000 0.500 0.000  0.23

---

(12)
First-principles (PBE-GGA) data for CsAsS after structural relaxation, as listed in Alexandria.

Offset from the most stable computed form in meV per atom: 51
V in Å³/cell: 219.2
Symmetry: No. 1
Formation energy from raw total energies in kJ/mol of atoms: -61.0

Cell: 5.074 7.051 7.168 Å, 115.07 71.15 101.49°
Fractional coordinates of all 6 atoms:
1 As 0.943 0.035 0.977
2 Cs 0.248 0.184 0.468
3 As 0.664 0.861 0.704
4 S 0.217 0.793 0.925
5 S 0.831 0.551 0.495
6 Cs 0.567 0.540 0.086